# 1
Material: BiMo3F
Method: DFT, PBEsol
State: optimized geometry

Output
Spin magnetization (Bohr magnetons per cell): 11.88
Formation energy from raw total energies (meV per atom): 2632
Fermi-level density of states (states/eV/atom): 0.6229
E_tot (eV/atom): -5.67

Geometry as CIF:
```
data_BiMo3F
_space_group_name_H-M_alt 'P m -3 m'
_space_group_IT_number 221
_space_group_name_Hall '-P 4 2 3'
_cell_length_a 5.357
_cell_length_b 5.357
_cell_length_c 5.357
_cell_angle_alpha 90.00
_cell_angle_beta 90.00
_cell_angle_gamma 90.00
loop_
_atom_site_label
_atom_site_type_symbol
_atom_site_fract_x
_atom_site_fract_y
_atom_site_fract_z
_atom_site_occupancy
Bi1 Bi 0.000 0.000 0.000 1
Mo1 Mo 0.000 0.000 0.500 1
F1 F 0.500 0.500 0.500 1
```

***

# 2
Material: CdFeMo2S
Method: DFT, PBEsol
State: optimized geometry

Output
Spin magnetization (Bohr magnetons per cell): 1.20
Formation energy from raw total energies (meV per atom): 324
Fermi-level density of states (states/eV/atom): 0.5073
E_tot (eV/atom): -7.29

Geometry as CIF:
```
data_CdFeMo2S
_space_group_name_H-M_alt 'P 4/m m m'
_space_group_IT_number 123
_space_group_name_Hall '-P 4 2'
_cell_length_a 4.417
_cell_length_b 4.417
_cell_length_c 4.066
_cell_angle_alpha 90.00
_cell_angle_beta 90.00
_cell_angle_gamma 90.00
loop_
_atom_site_label
_atom_site_type_symbol
_atom_site_fract_x
_atom_site_fract_y
_atom_site_fract_z
_atom_site_occupancy
Cd1 Cd 0.000 0.000 0.000 1
Fe1 Fe 0.500 0.500 0.000 1
Mo1 Mo 0.000 0.500 0.500 1
S1 S 0.500 0.500 0.500 1
```

***

# 3
Material: BeTe2Se
Method: DFT, PBEsol
State: optimized geometry

Output
Spin magnetization (Bohr magnetons per cell): 0.00
Formation energy from raw total energies (meV per atom): 151
Fermi-level density of states (states/eV/atom): 0.2146
E_tot (eV/atom): -3.57

Geometry as CIF:
```
data_BeTe2Se
_space_group_name_H-M_alt 'I -4 2 d'
_space_group_IT_number 122
_space_group_name_Hall 'I -4 2bw'
_cell_length_a 6.742
_cell_length_b 6.742
_cell_length_c 8.856
_cell_angle_alpha 90.00
_cell_angle_beta 90.00
_cell_angle_gamma 90.00
loop_
_atom_site_label
_atom_site_type_symbol
_atom_site_fract_x
_atom_site_fract_y
_atom_site_fract_z
_atom_site_occupancy
Be1 Be 0.000 0.000 0.000 1
Te1 Te 0.194 0.750 0.125 1
Se1 Se 0.000 0.000 0.500 1
```

***

# 4
Material: Tc3BI
Method: DFT, PBEsol
State: optimized geometry

Output
Spin magnetization (Bohr magnetons per cell): 0.54
Formation energy from raw total energies (meV per atom): 721
Fermi-level density of states (states/eV/atom): 1.3234
E_tot (eV/atom): -7.80

Geometry as CIF:
```
data_Tc3BI
_space_group_name_H-M_alt 'P m -3 m'
_space_group_IT_number 221
_space_group_name_Hall '-P 4 2 3'
_cell_length_a 4.169
_cell_length_b 4.169
_cell_length_c 4.169
_cell_angle_alpha 90.00
_cell_angle_beta 90.00
_cell_angle_gamma 90.00
loop_
_atom_site_label
_atom_site_type_symbol
_atom_site_fract_x
_atom_site_fract_y
_atom_site_fract_z
_atom_site_occupancy
Tc1 Tc 0.000 0.000 0.500 1
B1 B 0.000 0.000 0.000 1
I1 I 0.500 0.500 0.500 1
```

***

# 5
Material: La2PPb
Method: DFT, PBEsol
State: optimized geometry

Output
Spin magnetization (Bohr magnetons per cell): 0.00
Calculated formation energy (eV/f.u.): -3.0
Fermi-level density of states (states/eV/atom): 0.6476
E_tot (eV/atom): -5.87

Geometry as CIF:
```
data_La2PPb
_space_group_name_H-M_alt 'I m m m'
_space_group_IT_number 71
_space_group_name_Hall '-I 2 2'
_cell_length_a 4.662
_cell_length_b 5.647
_cell_length_c 8.331
_cell_angle_alpha 90.00
_cell_angle_beta 90.00
_cell_angle_gamma 90.00
loop_
_atom_site_label
_atom_site_type_symbol
_atom_site_fract_x
_atom_site_fract_y
_atom_site_fract_z
_atom_site_occupancy
La1 La 0.000 0.000 0.229 1
P1 P 0.000 0.500 0.500 1
Pb1 Pb 0.000 0.500 0.000 1
```

***

# 6
Material: Sc2PPb
Method: DFT, PBEsol
State: optimized geometry

Output
Spin magnetization (Bohr magnetons per cell): 0.00
Calculated formation energy (eV/f.u.): -4.1
Fermi-level density of states (states/eV/atom): 0.3562
E_tot (eV/atom): -6.78

Geometry as CIF:
```
data_Sc2PPb
_space_group_name_H-M_alt 'R -3 m'
_space_group_IT_number 166
_space_group_name_Hall '-R 3 2"'
_cell_length_a 3.6416
_cell_length_b 3.6416
_cell_length_c 22.3999
_cell_angle_alpha 90.00
_cell_angle_beta 90.00
_cell_angle_gamma 120.00
loop_
_atom_site_label
_atom_site_type_symbol
_atom_site_fract_x
_atom_site_fract_y
_atom_site_fract_z
_atom_site_occupancy
Sc1 Sc 0.0000 0.0000 0.2309 1
P1 P 0.0000 0.0000 0.5000 1
Pb1 Pb 0.0000 0.0000 0.0000 1
```

***

# 7
Material: Ca2GaSi
Method: DFT, PBEsol
State: optimized geometry

Output
Spin magnetization (Bohr magnetons per cell): 0.00
Formation energy from raw total energies (meV per atom): -553
Fermi-level density of states (states/eV/atom): 0.3298
E_tot (eV/atom): -3.89

Geometry as CIF:
```
data_Ca2GaSi
_space_group_name_H-M_alt 'A m m 2'
_space_group_IT_number 38
_cell_length_a 4.052
_cell_length_b 4.384
_cell_length_c 10.935
_cell_angle_alpha 90.00
_cell_angle_beta 90.00
_cell_angle_gamma 90.00
loop_
_space_group_symop_operation_xyz
'x,y,z'
'-x,-y,z'
'-x,y,z'
'x,-y,z'
'x,y+1/2,z+1/2'
'-x,-y+1/2,z+1/2'
'-x,y+1/2,z+1/2'
'x,-y+1/2,z+1/2'
loop_
_atom_site_label
_atom_site_type_symbol
_atom_site_fract_x
_atom_site_fract_y
_atom_site_fract_z
_atom_site_occupancy
Ca1 Ca 0.000 0.000 0.000 1
Ca2 Ca 0.500 0.000 0.282 1
Ga1 Ga 0.500 0.000 0.575 1
Si1 Si 0.000 0.000 0.711 1
```

***

# 8
Material: CrAsF3
Method: DFT, PBEsol
State: optimized geometry

Output
Spin magnetization (Bohr magnetons per cell): 5.24
Formation energy from raw total energies (meV per atom): -765
Fermi-level density of states (states/eV/atom): 0.5987
E_tot (eV/atom): -4.99

Geometry as CIF:
```
data_CrAsF3
_space_group_name_H-M_alt 'P m -3 m'
_space_group_IT_number 221
_space_group_name_Hall '-P 4 2 3'
_cell_length_a 4.281
_cell_length_b 4.281
_cell_length_c 4.281
_cell_angle_alpha 90.00
_cell_angle_beta 90.00
_cell_angle_gamma 90.00
loop_
_atom_site_label
_atom_site_type_symbol
_atom_site_fract_x
_atom_site_fract_y
_atom_site_fract_z
_atom_site_occupancy
Cr1 Cr 0.000 0.000 0.000 1
As1 As 0.500 0.500 0.500 1
F1 F 0.000 0.500 0.500 1
```

***

# 9
Material: LiCd2In
Method: DFT, PBEsol
State: optimized geometry

Output
Spin magnetization (Bohr magnetons per cell): 0.00
Calculated formation energy (eV/f.u.): -0.3
Fermi-level density of states (states/eV/atom): 0.3803
E_tot (eV/atom): -1.92

Geometry as CIF:
```
data_LiCd2In
_space_group_name_H-M_alt 'R -3 m'
_space_group_IT_number 166
_space_group_name_Hall '-R 3 2"'
_cell_length_a 3.1515
_cell_length_b 3.1515
_cell_length_c 29.2532
_cell_angle_alpha 90.00
_cell_angle_beta 90.00
_cell_angle_gamma 120.00
loop_
_atom_site_label
_atom_site_type_symbol
_atom_site_fract_x
_atom_site_fract_y
_atom_site_fract_z
_atom_site_occupancy
Li1 Li 0.0000 0.0000 0.0000 1
Cd1 Cd 0.0000 0.0000 0.2566 1
In1 In 0.0000 0.0000 0.5000 1
```

***

# 10
Material: TaGaN2Cl
Method: DFT, PBEsol
State: optimized geometry

Output
Spin magnetization (Bohr magnetons per cell): 0.00
Formation energy from raw total energies (meV per atom): 1997
Fermi-level density of states (states/eV/atom): 0.7047
E_tot (eV/atom): -4.99

Geometry as CIF:
```
data_TaGaN2Cl
_space_group_name_H-M_alt 'P 4/m m m'
_space_group_IT_number 123
_space_group_name_Hall '-P 4 2'
_cell_length_a 3.863
_cell_length_b 3.863
_cell_length_c 4.655
_cell_angle_alpha 90.00
_cell_angle_beta 90.00
_cell_angle_gamma 90.00
loop_
_atom_site_label
_atom_site_type_symbol
_atom_site_fract_x
_atom_site_fract_y
_atom_site_fract_z
_atom_site_occupancy
Ta1 Ta 0.000 0.000 0.000 1
Ga1 Ga 0.500 0.500 0.000 1
N1 N 0.000 0.500 0.500 1
Cl1 Cl 0.000 0.000 0.500 1
```

***

# 11
Material: RbNa3
Method: DFT, PBEsol
State: optimized geometry

Output
Spin magnetization (Bohr magnetons per cell): 0.00
Calculated formation energy (eV/f.u.): 0.2
Fermi-level density of states (states/eV/atom): 0.5833
E_tot (eV/atom): -1.27

Geometry as CIF:
```
data_RbNa3
_space_group_name_H-M_alt 'P 63/m m c'
_space_group_IT_number 194
_space_group_name_Hall '-P 6c 2c'
_cell_length_a 8.4799
_cell_length_b 8.4799
_cell_length_c 6.2280
_cell_angle_alpha 90.00
_cell_angle_beta 90.00
_cell_angle_gamma 120.00
loop_
_atom_site_label
_atom_site_type_symbol
_atom_site_fract_x
_atom_site_fract_y
_atom_site_fract_z
_atom_site_occupancy
Rb1 Rb 0.3333 0.6667 0.2500 1
Na1 Na 0.1454 0.2907 0.7500 1
```

***

# 12
Material: TcBiTeN2
Method: DFT, PBEsol
State: optimized geometry

Output
Spin magnetization (Bohr magnetons per cell): 5.75
Formation energy from raw total energies (meV per atom): 2066
Fermi-level density of states (states/eV/atom): 0.5310
E_tot (eV/atom): -5.16

Geometry as CIF:
```
data_TcBiTeN2
_space_group_name_H-M_alt 'P 4/m m m'
_space_group_IT_number 123
_space_group_name_Hall '-P 4 2'
_cell_length_a 4.210
_cell_length_b 4.210
_cell_length_c 6.313
_cell_angle_alpha 90.00
_cell_angle_beta 90.00
_cell_angle_gamma 90.00
loop_
_atom_site_label
_atom_site_type_symbol
_atom_site_fract_x
_atom_site_fract_y
_atom_site_fract_z
_atom_site_occupancy
Tc1 Tc 0.000 0.000 0.000 1
Bi1 Bi 0.500 0.500 0.500 1
Te1 Te 0.500 0.500 0.000 1
N1 N 0.000 0.500 0.500 1
```